Record 1
AlAsOsBr2: relaxed, PBE.

a = 5.328 Å, b = 5.328 Å, c = 4.654 Å
α = 90.00°, β = 90.00°, γ = 90.00°
Sites, in units of the cell vectors:
Br  0.500  0.000  0.000
As  0.000  0.000  0.500
Os  0.000  0.000  0.000
Br  0.000  0.500  0.000
Al  0.500  0.500  0.500

Output
magnetization: 0.0 μB per formula unit
raw total energy: -4.07 eV per atom
ΔE_f (raw): 523 meV/atom
relative energy among the computed polymorphs: 0 meV/atom

=====

Record 2
AlAsPBr2: relaxed, PBE.

a = 5.264 Å, b = 5.264 Å, c = 4.835 Å
α = 90.00°, β = 90.00°, γ = 90.00°
Sites, in units of the cell vectors:
Br  0.000  0.500  0.000
P  0.000  0.000  0.000
Br  0.500  0.000  0.000
As  0.000  0.000  0.500
Al  0.500  0.500  0.500

Output
magnetization: 0.0 μB per formula unit
raw total energy: -3.03 eV per atom
ΔE_f (raw): 399 meV/atom
relative energy among the computed polymorphs: 4 meV/atom

=====

Record 3
AlAsPBr2: relaxed, PBE.

a = 5.493 Å, b = 4.792 Å, c = 5.493 Å
α = 90.00°, β = 90.00°, γ = 90.00°
Each line ends with the local moment (μB).
Sites, in units of the cell vectors:
Al  0.500  0.500  0.500  0.00
Br  0.000  0.000  0.500  0.05
Br  0.500  0.000  0.000  0.04
P  0.000  0.500  0.000  0.26
As  0.000  0.000  0.000  -0.04

Output
magnetization: 0.7 μB per formula unit
raw total energy: -3.03 eV per atom
ΔE_f (raw): 395 meV/atom
relative energy among the computed polymorphs: 0 meV/atom

=====

Record 4
AlAsPBr2: relaxed, PBE.

a = 4.859 Å, b = 4.859 Å, c = 5.459 Å
α = 90.00°, β = 90.00°, γ = 90.00°
Each line ends with the local moment (μB).
Sites, in units of the cell vectors:
Br  0.500  0.000  0.000  0.02
As  0.000  0.000  0.500  -0.40
Br  0.000  0.500  0.000  0.02
P  0.500  0.500  0.500  0.79
Al  0.000  0.000  0.000  0.01

Output
magnetization: 1.0 μB per formula unit
raw total energy: -3.01 eV per atom
ΔE_f (raw): 417 meV/atom
relative energy among the computed polymorphs: 22 meV/atom